A relaxed PuBiRhO6 crystal, computed with GGA-PBE.

Calculated values
M_tot, Bohr magnetons per cell: 4.000
DFT total energy, eV/atom: -7.831
Symmetry: No. 163
Energy relative to the elements, uncorrected, eV per atom: -1.685

Lattice parameters (Å, degrees): 5.321 5.321 10.423 90.00 90.00 120.00
Each line ends with the local moment (μB).
Atoms (fractional coordinates):
Pu1 0.667 0.333 0.250  2.72
Pu2 0.333 0.667 0.750  2.72
Bi1 0.000 0.000 0.000  -0.01
Bi2 0.000 0.000 0.500  -0.01
Rh1 0.333 0.667 0.250  -0.16
Rh2 0.667 0.333 0.750  -0.16
O1 0.642 0.650 0.139  -0.09
O2 0.008 0.358 0.139  -0.09
O3 0.358 0.008 0.639  -0.09
O4 0.992 0.642 0.861  -0.09
O5 0.350 0.358 0.361  -0.09
O6 0.008 0.650 0.361  -0.09
O7 0.650 0.008 0.861  -0.09
O8 0.642 0.992 0.361  -0.09
O9 0.992 0.350 0.639  -0.09
O10 0.350 0.992 0.139  -0.09
O11 0.650 0.642 0.639  -0.09
O12 0.358 0.350 0.861  -0.09